No. 1
The following is a DFT calculation (PBE) of a relaxed Hf2Mg2S crystal.

The calculation puts the magnetization at 0.000 μB per atom. The raw formation energy comes out at 0.302 eV/atom.

The structure belongs to space group I4/mmm (No. 139); the cell edges are 3.753, 3.753 and 17.098 Å and the angles 90.00°, 90.00° and 90.00°. The inequivalent atoms are Hf at (0.000, 0.500, 0.250), Mg at (0.000, 0.000, 0.088) and S at (0.000, 0.000, 0.500).

=====

No. 2
The following is a DFT calculation (PBE) of a relaxed Pm2MgCuO6 crystal.

The calculation puts the magnetization at 0.104 μB per atom. The raw formation energy comes out at -2.316 eV/atom.

The structure belongs to space group P2_1/c (No. 14); the cell edges are 5.397, 5.768 and 9.342 Å and the angles 90.00°, 125.27° and 90.00°. The inequivalent atoms are Pm at (0.232, 0.070, 0.250), Mg at (0.000, 0.000, 0.500), Cu at (0.500, 0.000, 0.000), O at (0.165, 0.189, 0.956), O at (0.249, 0.697, 0.949) and O at (0.353, 0.026, 0.761).

=====

No. 3
The following is a DFT calculation (PBE) of a relaxed CaCeAs2O8 crystal.

The calculation puts the magnetization at 0.000 μB per atom. The raw formation energy comes out at -2.167 eV/atom.

The structure belongs to space group I-4 (No. 82); the cell edges are 5.115, 5.115 and 11.458 Å and the angles 90.00°, 90.00° and 90.00°. The inequivalent atoms are Ca at (0.000, 0.000, 0.000), Ce at (0.000, 0.500, 0.250), As at (0.000, 0.000, 0.500), As at (0.000, 0.500, 0.750), O at (0.142, 0.248, 0.419) and O at (0.151, 0.750, 0.826).

=====

No. 4
The following is a DFT calculation (PBE) of a relaxed TlMo2IBr crystal.

The calculation puts the magnetization at 1.660 μB per atom. The raw formation energy comes out at 1.780 eV/atom.

The structure belongs to space group P4/mmm (No. 123); the cell edges are 5.614, 5.614 and 5.848 Å and the angles 90.00°, 90.00° and 90.00°. The inequivalent atoms are Tl at (0.000, 0.000, 0.000), Mo at (0.000, 0.500, 0.000), I at (0.000, 0.000, 0.500) and Br at (0.500, 0.500, 0.500).

=====

No. 5
The following is a DFT calculation (PBE) of a relaxed TbHoTl6 crystal.

The formation energy is -235 meV per atom. The calculation puts the magnetization at 0.000 μB per atom.

The structure belongs to space group P4/mmm (No. 123); the cell edges are 4.765, 4.765 and 9.533 Å and the angles 90.00°, 90.00° and 90.00°. The inequivalent atoms are Tb at (0.000, 0.000, 0.000), Ho at (0.000, 0.000, 0.500), Tl at (0.000, 0.500, 0.251), Tl at (0.500, 0.500, 0.000) and Tl at (0.500, 0.500, 0.500).

=====

No. 6
The following is a DFT calculation (PBE) of a relaxed AlP2Pb crystal.

The formation energy is -69 meV per atom. The calculation puts the magnetization at 0.000 μB per atom.

The structure belongs to space group Pm (No. 6); the cell edges are 4.042, 4.103 and 6.139 Å and the angles 90.00°, 96.36° and 90.00°. The inequivalent atoms are Al at (0.000, 0.000, 0.000), P at (0.533, 0.000, 0.212), P at (0.947, 0.500, 0.796) and Pb at (0.412, 0.500, 0.488).

=====

No. 7
The following is a DFT calculation (PBE) of a relaxed LiAg2Rh crystal.

The formation energy is 30 meV per atom. The calculation puts the magnetization at 0.108 μB per atom.

The structure belongs to space group P2/m (No. 10); the cell edges are 2.729, 4.309 and 5.495 Å and the angles 90.00°, 101.84° and 90.00°. The inequivalent atoms are Li at (0.000, 0.000, 0.000), Ag at (0.415, 0.500, 0.245) and Rh at (0.000, 0.000, 0.500).

=====

No. 8
The following is a DFT calculation (PBE) of a relaxed Mg2Au crystal.

The formation energy is -409 meV per atom. The calculation puts the magnetization at 0.000 μB per atom.

The structure belongs to space group I4_1/amd (No. 141, origin choice 2); the cell edges are 4.120, 4.120 and 26.764 Å and the angles 90.00°, 90.00° and 90.00°. The inequivalent atoms are Mg at (0.000, 0.250, 0.125), Mg at (0.000, 0.250, 0.289) and Au at (0.000, 0.250, 0.797).

=====

No. 9
The following is a DFT calculation (PBE) of a relaxed Tm4ZnNi crystal.

The formation energy is -89 meV per atom. The calculation puts the magnetization at 0.000 μB per atom.

The structure belongs to space group C2 (No. 5); the cell edges are 6.717, 6.717 and 6.836 Å and the angles 90.00°, 90.07° and 90.00°. The inequivalent atoms are Tm at (0.250, 0.000, 0.238), Tm at (0.250, 0.000, 0.762), Zn at (0.000, 0.250, 0.500) and Ni at (0.000, 0.750, 0.000).

=====

No. 10
The following is a DFT calculation (PBE) of a relaxed PmNd3Se4 crystal.

The calculation puts the magnetization at 0.000 μB per atom. The raw formation energy comes out at -1.840 eV/atom.

The structure belongs to space group P2/c (No. 13); the cell edges are 7.344, 8.361 and 7.342 Å and the angles 90.00°, 109.25° and 90.00°. The inequivalent atoms are Pm at (0.000, 0.125, 0.250), Nd at (0.000, 0.375, 0.750), Nd at (0.500, 0.125, 0.750), Nd at (0.500, 0.375, 0.250), Se at (0.248, 0.124, 0.000) and Se at (0.249, 0.374, 0.499).

=====

No. 11
The following is a DFT calculation (PBE) of a relaxed CoCuMoRu crystal.

The formation energy is 147 meV per atom. The calculation puts the magnetization at 0.000 μB per atom.

The structure belongs to space group F-43m (No. 216); the cell edges are 5.955, 5.955 and 5.955 Å and the angles 90.00°, 90.00° and 90.00°. The inequivalent atoms are Co at (0.000, 0.000, 0.000), Cu at (0.250, 0.250, 0.750), Mo at (0.250, 0.250, 0.250) and Ru at (0.000, 0.000, 0.500).

=====

No. 12
The following is a DFT calculation (PBE) of a relaxed Na2InF crystal.

The calculation puts the magnetization at 0.000 μB per atom. The raw formation energy comes out at -1.197 eV/atom.

The structure belongs to space group I-42d (No. 122); the cell edges are 6.789, 6.789 and 8.663 Å and the angles 90.00°, 90.00° and 90.00°. The inequivalent atoms are Na at (0.113, 0.250, 0.125), In at (0.000, 0.000, 0.500) and F at (0.000, 0.000, 0.000).